Record 1
Below is a relaxed structure of ThMgCu, with properties calculated at the GGA-PBE level.

Structure (POSCAR):
```
ThMgCu
1.0
1.7311 -8.9269 0.0000
1.7311 8.9269 0.0000
0.0000 0.0000 4.5436
Th Mg Cu
2 2 2
Cartesian
1.7311 7.2521 3.4077
1.7311 -7.2521 1.1359
1.7311 3.7107 3.4077
1.7311 -3.7107 1.1359
1.7311 0.7744 3.4077
1.7311 -0.7744 1.1359
```

Calculated values
E_tot = -26.70 eV for the cell shown
formation energy = -0.080 eV per atom

=====

Record 2
Below is a relaxed structure of Li12Mg6Hg, with properties calculated at the GGA-PBE level.

Structure (POSCAR):
```
Li12Mg6Hg
1.0
5.2923 3.0555 4.0897
-5.2923 3.0555 4.0897
0.0000 -6.1110 4.0897
Li Mg Hg
12 6 1
Cartesian
-1.4002 -4.7918 5.2106
-4.8499 -1.1833 7.0585
-1.1610 -1.2977 3.8183
-3.4497 3.6085 5.2106
-0.5434 1.6543 3.8183
1.7043 -0.3566 3.8183
-1.7043 0.3566 8.4508
0.5434 -1.6543 8.4508
3.4497 -3.6085 7.0585
1.1610 1.2977 8.4508
4.8499 1.1833 5.2106
1.4002 4.7918 7.0585
-2.8580 0.6735 5.6098
-2.0123 -2.1384 6.6593
0.8458 -2.8119 5.6098
-0.8458 2.8119 6.6593
2.0123 2.1384 5.6098
2.8580 -0.6735 6.6593
0.0000 0.0000 6.1346
```

Calculated values
E_tot = -33.80 eV for the cell shown
formation energy = -0.051 eV per atom

=====

Record 3
Below is a relaxed structure of OsW2Au, with properties calculated at the GGA-PBE level.

Structure (POSCAR):
```
OsW2Au
1.0
0.0000 3.1819 3.1819
3.1819 0.0000 3.1819
3.1819 3.1819 0.0000
Os W Au
1 2 1
Cartesian
0.0000 0.0000 0.0000
3.1819 3.1819 3.1819
4.7728 4.7728 4.7728
1.5909 1.5909 1.5909
```

Calculated values
offset from the most stable computed form = 1.30 eV/f.u.
E_tot = -38.29 eV for the cell shown
formation energy = 0.530 eV per atom

=====

Q: Among the records above, which one has the highest formation energy?
A: OsW2Au

=====

Q: Among the records above, which one has the lowest formation energy?
A: ThMgCu